Entry 1:
This record from the Alexandria database describes crystalline Ca2FeAs at its relaxed geometry. The functional is GGA-PBEsol.

a b c (Å): 6.0079 6.0079 6.0079
angles (deg): 145.72 133.87 58.72
Closest atoms and distances in Å follow each position.
Positions (direct):
Ca1 0.0000 0.0000 0.0000  4 As 3.02, 2 Ca 3.22, 2 Fe 3.22
Ca2 0.7093 0.2093 0.5000  4 Fe 3.06, 2 Ca 3.22, 4 As 3.34-3.37
Fe1 0.2896 0.7896 0.5000  2 As 2.34
As1 0.4360 0.4360 0.0000  2 Fe 2.34

Properties
Density of states at the Fermi level in states/eV per cell: 4.672
Total DFT energy (no corrections) in eV/cell: -19.2
Formation energy from the elements in kJ/mol of atoms: -19.9
Symmetry: Imm2
Crystal system: orthorhombic

---

Entry 2:
This record from the Alexandria database describes crystalline CuReTeF2 at its relaxed geometry. The functional is GGA-PBEsol.

a b c (Å): 3.8474 3.8474 5.6576
angles (deg): 90.00 90.00 90.00
Closest atoms and distances in Å follow each position.
Positions (direct):
Cu1 0.0000 0.0000 0.0000  4 F 1.92
Re1 0.5000 0.5000 0.5000  4 Te 2.72
Te1 0.0000 0.0000 0.5000  4 Re 2.72, 2 Cu 2.83
F1 0.0000 0.5000 0.0000  2 Cu 1.92
F2 0.5000 0.0000 0.0000  2 Cu 1.92

Properties
Density of states at the Fermi level in states/eV per cell: 3.168
Total DFT energy (no corrections) in eV/cell: -25.2
Symmetry: P4/mmm
Formation energy (no corrections) in eV/atom: -0.040
Crystal system: tetragonal

---

Entry 3:
This record from the Alexandria database describes crystalline SrPPbS2 at its relaxed geometry. The functional is GGA-PBEsol.

a b c (Å): 5.3345 5.3345 5.2604
angles (deg): 90.00 90.00 90.00
Closest atoms and distances in Å follow each position.
Positions (direct):
Sr1 0.0000 0.0000 0.0000  2 P 2.63, 4 S 2.67
P1 0.0000 0.0000 0.5000  2 Sr 2.63
Pb1 0.5000 0.5000 0.5000  8 S 3.75, 4 P 3.77
S1 0.0000 0.5000 0.0000  2 Sr 2.67
S2 0.5000 0.0000 0.0000  2 Sr 2.67

Properties
Density of states at the Fermi level in states/eV per cell: 6.104
Total DFT energy (no corrections) in eV/cell: -18.5
Symmetry: P4/mmm
Formation energy (no corrections) in eV/atom: 0.373
Crystal system: tetragonal

---

Entry 4:
This record from the Alexandria database describes crystalline BeCu3Se at its relaxed geometry. The functional is GGA-PBEsol.

a b c (Å): 4.4776 4.4776 4.4776
angles (deg): 90.00 90.00 90.00
Closest atoms and distances in Å follow each position.
Positions (direct):
Be1 0.0000 0.0000 0.0000  12 Cu 3.17
Cu1 0.0000 0.5000 0.5000  2 Se 2.24
Cu2 0.5000 0.0000 0.5000  2 Se 2.24
Cu3 0.5000 0.5000 0.0000  2 Se 2.24
Se1 0.5000 0.5000 0.5000  6 Cu 2.24

Properties
Density of states at the Fermi level in states/eV per cell: 2.015
Total DFT energy (no corrections) in eV/cell: -16.0
Symmetry: Pm-3m
Formation energy (no corrections) in eV/atom: 0.961
Crystal system: cubic

---

Entry 5:
This record from the Alexandria database describes crystalline Zn5Re at its relaxed geometry. The functional is GGA-PBEsol.

a b c (Å): 5.1522 5.1522 6.5255
angles (deg): 104.80 104.80 29.77
Closest atoms and distances in Å follow each position.
Positions (direct):
Zn1 0.0000 0.0000 0.0000  10 Zn 2.62-2.75, 2 Re 2.76
Zn2 0.0574 0.0574 0.6121  9 Zn 2.65-2.74, 3 Re 2.67-2.69
Zn3 0.3871 0.3871 0.2779  11 Zn 2.65-2.73, 1 Re 2.67
Zn4 0.6661 0.6661 0.3254  10 Zn 2.65-2.74, 2 Re 2.69
Zn5 0.7290 0.7290 0.9412  10 Zn 2.62-2.75, 2 Re 2.69
Re1 0.3315 0.3315 0.6559  2 Re 2.65, 10 Zn 2.67-2.76

Properties
Density of states at the Fermi level in states/eV per cell: 1.988
Total DFT energy (no corrections) in eV/cell: -20.8
Formation energy from the elements in kJ/mol of atoms: 7.1
Symmetry: Cm
Crystal system: monoclinic

---

Entry 6:
This record from the Alexandria database describes crystalline Ba3NiC at its relaxed geometry. The functional is GGA-PBEsol.

a b c (Å): 5.5063 5.5063 5.5063
angles (deg): 90.00 90.00 90.00
Closest atoms and distances in Å follow each position.
Positions (direct):
Ba1 0.0000 0.0000 0.5000  2 C 2.75
Ba2 0.0000 0.5000 0.0000  2 C 2.75
Ba3 0.5000 0.0000 0.0000  2 C 2.75
Ni1 0.5000 0.5000 0.5000  12 Ba 3.89
C1 0.0000 0.0000 0.0000  6 Ba 2.75

Properties
Density of states at the Fermi level in states/eV per cell: 5.667
Total DFT energy (no corrections) in eV/cell: -18.6
Formation energy from the elements in kJ/mol of atoms: 70.8
Symmetry: Pm-3m
E above lowest polymorph in eV/f.u.: 0.00
Crystal system: cubic